## Li4Nb2Fe3Cu3O16 (GGA+U)

Data for a relaxed structure of Li4Nb2Fe3Cu3O16.

As for the crystal system: monoclinic. Its electronic total energy is -0.4666 Ry/atom. As for the density of states at the Fermi level: 8.25 states/eV/f.u. For the calculated volume, the calculation gives 585.9 Å³/cell.

```
data_Li4Nb2Fe3Cu3O16
_chemical_formula_sum 'Li8 Nb4 Fe6 Cu6 O32'
_space_group_name_H-M_alt 'C 1 m 1'
_space_group_IT_number 8
_cell_length_a 10.2930
_cell_length_b 5.8810
_cell_length_c 9.6818
_cell_angle_alpha 90.00
_cell_angle_beta 91.20
_cell_angle_gamma 90.00
loop_
_space_group_symop_operation_xyz
'x,y,z'
'x,-y,z'
'x+1/2,y+1/2,z'
'x+1/2,-y+1/2,z'
loop_
_atom_site_label
_atom_site_type_symbol
_atom_site_fract_x
_atom_site_fract_y
_atom_site_fract_z
Li1 Li 0.0000 0.0000 0.0000
Li2 Li 0.0009 0.0000 0.4980
Li3 Li 0.1593 0.5000 0.0928
Li4 Li 0.3292 0.0000 0.5854
Nb1 Nb 0.1663 0.5000 0.4914
Nb2 Nb 0.3304 0.0000 0.9967
Fe1 Fe 0.3247 0.5000 0.7734
Fe2 Fe 0.4099 0.2440 0.2755
Cu1 Cu 0.0813 0.2547 0.7750
Cu2 Cu 0.1642 0.0000 0.2747
O1 O 0.0157 0.5000 0.6472
O2 O 0.0722 0.2550 0.3970
O3 O 0.1608 0.5000 0.8803
O4 O 0.1621 0.0000 0.9037
O5 O 0.2385 0.2759 0.6422
O6 O 0.2590 0.2255 0.1539
O7 O 0.3302 0.0000 0.3755
O8 O 0.3314 0.5000 0.3930
O9 O 0.4096 0.2527 0.9029
O10 O 0.4769 0.0000 0.1573
O11 O 0.4919 0.5000 0.1878
O12 O 0.4972 0.5000 0.6862
```